# 1
CaGaOsF2 | PBE | optimized geometry

Geometry as POSCAR:
```
CaGaOsF2
1.0
4.064 0.000 0.000
0.000 4.064 0.000
0.000 0.000 7.267
Ca Ga Os F
1 1 1 2
direct
0.000 0.000 0.000
0.000 0.000 0.500
0.500 0.500 0.000
0.000 0.500 0.500
0.500 0.000 0.500
```

Formation energy without anion corrections, eV/atom: -0.219
V, Å³/f.u.: 120.0



# 2
RbCa2GaF8 | PBE | optimized geometry

Geometry as POSCAR:
```
RbCa2GaF8
1.0
5.150 0.000 0.000
0.160 5.161 0.000
0.009 0.007 7.356
Rb Ca Ga F
1 2 1 8
direct
0.000 0.000 0.000
0.500 0.500 0.256
0.500 0.500 0.744
0.000 0.000 0.500
0.205 0.826 0.682
0.206 0.826 0.318
0.258 0.286 0.500
0.289 0.393 0.000
0.711 0.607 0.000
0.742 0.714 0.500
0.794 0.174 0.682
0.795 0.174 0.318
```

Formation energy without anion corrections, eV/atom: -3.264
V, Å³/f.u.: 195.5



# 3
RbCaGa2F8 | PBE | optimized geometry

Geometry as POSCAR:
```
RbCaGa2F8
1.0
2.857 1.649 7.632
-2.857 1.649 7.632
0.000 -3.299 7.632
Rb Ca Ga F
1 1 2 8
direct
0.000 0.000 0.000
0.500 0.500 0.500
0.242 0.242 0.242
0.758 0.758 0.758
0.103 0.768 0.461
0.232 0.539 0.897
0.322 0.322 0.322
0.461 0.103 0.768
0.539 0.897 0.232
0.678 0.678 0.678
0.768 0.461 0.103
0.897 0.232 0.539
```

Formation energy without anion corrections, eV/atom: -2.758
V, Å³/f.u.: 215.8



no.,D(E_F) (states/eV/cell),uncorrected energy (eV for the cell shown),magnetization (μB per formula unit)
1,4.28,-21.1,2.33
2,0.00,-62.1,0.00
3,2.15,-57.1,0.00